LaCrAsO after structural relaxation, computed with PBE+U.

a b c (Å): 4.232 4.232 8.928
angles (deg): 90.00 90.00 90.00
Atoms (fractional coordinates):
La (0.250, 0.250, 0.129)
La (0.750, 0.750, 0.871)
Cr (0.250, 0.750, 0.500)
Cr (0.750, 0.250, 0.500)
As (0.250, 0.250, 0.670)
As (0.750, 0.750, 0.330)
O (0.250, 0.750, 0.000)
O (0.750, 0.250, 0.000)

Output
* energy: -7.25 eV/atom
* spin magnetization: 8.00 Bohr magnetons per cell
* calculated volume: 19.99 Å³/atom